Below is a relaxed structure of Sr2PrF6, with properties calculated at the PBE-GGA level.

Cell: 7.1741 7.1741 7.1741 Å, 147.53 129.91 60.98°
Each line ends with the local moment (μB).
Element x y z (fractional)
Sr  0.3296  0.3296  0.0000  0.01
Sr  0.6704  0.6704  0.0000  0.01
Pr  0.0000  0.0000  0.0000  0.38
F  0.7317  0.5000  0.2317  0.02
F  0.0885  0.8381  0.2504  0.01
F  0.4124  0.1619  0.2504  0.01
F  0.2683  0.5000  0.7683  0.02
F  0.5876  0.8381  0.7496  0.01
F  0.9115  0.1619  0.7496  0.01

Space-group type: Immm, No. 71
Formation energy from raw total energies in eV per atom: -3.7334
DFT total energy in eV per atom: -5.89